## FeHIr2Pd (PBE)

Data for a geometry-optimized FeHIr2Pd structure.

Summary:
Offset from the most stable computed form (kcal/mol of atoms): 0.00
Magnetization (μB per cell): 4.1
Calculated volume (Å³ per cell): 59.7

Cell and atoms, written as CIF:
```
data_FeHIr2Pd
_cell_length_a 3.905
_cell_length_b 3.905
_cell_length_c 3.915
_cell_angle_alpha 90.00
_cell_angle_beta 90.00
_cell_angle_gamma 90.00
_space_group_name_H-M_alt 'P 4/m m m'
_space_group_IT_number 123
_space_group_name_Hall '-P 4 2'
loop_
_atom_site_label
_atom_site_type_symbol
_atom_site_fract_x
_atom_site_fract_y
_atom_site_fract_z
Fe1 Fe 0.000 0.000 0.000
H1 H 0.000 0.000 0.500
Ir1 Ir 0.000 0.500 0.500
Pd1 Pd 0.500 0.500 0.000
```